This record from Alexandria describes a PBEsol-optimized structure of RbIrSeN2. The functional is meta-GGA SCAN.

Calculated values
SG ... No. 123
Raw formation energy ... 3.2140 eV/atom

```
data_RbIrSeN2
_chemical_formula_sum 'Rb1 Ir1 Se1 N2'
_cell_length_a 4.086
_cell_length_b 4.086
_cell_length_c 6.153
_cell_angle_alpha 90.00
_cell_angle_beta 90.00
_cell_angle_gamma 90.00
_space_group_name_H-M_alt 'P 1'
_space_group_IT_number 1
loop_
_space_group_symop_operation_xyz
'x,y,z'
loop_
_atom_site_label
_atom_site_fract_x
_atom_site_fract_y
_atom_site_fract_z
N1 0.000 0.500 0.000
N2 0.500 0.000 0.000
Rb1 0.000 0.000 0.000
Se1 0.000 0.000 0.500
Ir1 0.500 0.500 0.500
```